# 1
# Li2AgO2

A relaxed Li2AgO2 crystal (GGA-PBE, the Alexandria database).

Geometry as extended XYZ:
```
10
Lattice="-1.341 -0.164 2.699 4.192 -3.668 1.859 3.821 4.616 0.491" Properties=species:S:1:pos:R:3 pbc="T T T"
Li 1.220 -0.416 0.581
Li 5.233 1.392 4.372
Li 1.510 2.845 2.611
Li 3.248 -0.386 1.590
Ag 3.889 -2.143 3.490
Ag 3.947 1.908 2.077
O 1.885 -1.811 2.514
O 3.172 4.008 1.820
O 3.940 0.016 3.646
O 2.094 1.326 1.121
```

Computed properties:
E above lowest polymorph, meV/atom: 104
Mass density, g/cm3: 4.95
Total DFT energy (no corrections), eV per atom: -4.309
Space group: Cmc2_1 (36)
Formation energy from raw total energies, eV per atom: -0.990

# 2
# Li2AgO

A relaxed Li2AgO crystal (GGA-PBE, the Alexandria database).

Geometry as extended XYZ:
```
8
Lattice="-4.539 1.454 3.220 1.956 -3.331 4.262 0.723 2.115 5.203" Properties=species:S:1:pos:R:3 pbc="T T T"
Li -1.483 0.724 3.187
Li -2.119 0.626 9.577
Li -0.093 -1.074 5.026
Li -0.026 0.201 7.580
O 0.693 -1.077 6.603
O -1.292 -0.938 3.741
Ag 0.000 0.000 0.000
Ag -2.554 1.316 6.082
```

Computed properties:
Mass density, g/cm3: 3.51
Total DFT energy (no corrections), eV per atom: -3.764
Space group: I-42d (122)
Formation energy from raw total energies, eV per atom: -0.855